Entry 1:
Density functional theory data (GGA-PBE) for a geometry-optimized KLa2Fe structure.

Cell: 5.505 5.505 5.505 Å, 60.00 60.00 60.00°
Last column: magnetic moment on the atom in μB.
Fractional coordinates of all 4 atoms:
K (0.000, 0.000, 0.000)  -0.05
Fe (0.500, 0.500, 0.500)  2.51
La (0.250, 0.250, 0.250)  -0.32
La (0.750, 0.750, 0.750)  -0.32

Properties
Its formation energy is 694 meV/atom. The calculation puts the distance to the lowest polymorph of the same formula at 535 meV/atom. Its total energy is -4.159 eV/atom.

=====

Entry 2:
Density functional theory data (GGA-PBE) for a geometry-optimized Th2Si4Ir3Pd structure.

Cell: 4.218 4.218 9.954 Å, 90.00 90.00 90.00°
Fractional coordinates of all 10 atoms:
Th (0.500, 0.000, 0.244)
Th (0.000, 0.500, 0.756)
Si (0.500, 0.500, 0.000)
Si (0.000, 0.000, 0.000)
Si (0.500, 0.000, 0.634)
Si (0.000, 0.500, 0.366)
Ir (0.000, 0.000, 0.500)
Ir (0.500, 0.000, 0.876)
Ir (0.000, 0.500, 0.124)
Pd (0.500, 0.500, 0.500)

Properties
As for the uncorrected formation energy: -1.039 eV per atom. Its total energy is -7.869 eV/atom.

=====

Entry 3:
Density functional theory data (GGA-PBE) for a geometry-optimized KZn2Tc structure.

Cell: 4.674 4.674 7.002 Å, 85.91 85.91 33.52°
Fractional coordinates of all 4 atoms:
K (0.250, 0.250, 0.250)
Tc (0.750, 0.750, 0.750)
Zn (0.012, 0.012, 0.910)
Zn (0.488, 0.488, 0.590)

Properties
Its formation energy is 468 meV/atom. The calculation puts the distance to the lowest polymorph of the same formula at 80 meV/atom. Its total energy is -3.035 eV/atom.